In2PBr | GGA-PBEsol | relaxed

Properties
The value obtained for the total magnetic moment is 0.000 μB/atom. The value obtained for the density of states at the Fermi level is 4.72 states/eV per cell. As for the energy above the most stable polymorph in this dataset: 225 meV/atom. As for the final energy: -3.42 eV/atom. For the formation energy from raw total energies, the calculation gives -3 kJ/mol of formula units.

Unit cell a=7.115 b=7.115 c=7.115 alpha=90.00 beta=90.00 gamma=90.00
Space group Fm-3m (No. 225)
Unique sites:
In 0.250 0.250 0.250 x8
P 0.000 0.000 0.000 x4
Br 0.000 0.000 0.500 x4